Entry 1:
Density functional theory data (meta-GGA SCAN) for a PBEsol-optimized structure of FeSi2Ir.

Lattice parameters (Å, degrees): 2.8222 4.1926 4.4273 104.29 108.59 90.00
Fractional coordinates of all 4 atoms:
1 Si 0.2462 0.6854 0.4925
2 Ir 0.7437 0.1892 0.4874
3 Fe 0.5120 0.5881 0.0240
4 Si 0.9981 0.0373 0.9962

Formation energy (no corrections): -0.47 eV per atom
Total magnetization: 0.0 μB/cell

***

Entry 2:
Density functional theory data (meta-GGA SCAN) for a PBEsol-optimized structure of BeZnRh.

Lattice parameters (Å, degrees): 3.7411 3.7411 3.7411 60.00 60.00 60.00
Fractional coordinates of all 3 atoms:
1 Zn 0.5000 0.5000 0.5000
2 Rh 0.0000 0.0000 0.0000
3 Be 0.2500 0.2500 0.2500

Energy above the lowest structure with this stoichiometry: 185 meV/atom
Energy of formation from the pure elements: -0.33 eV/atom
Total magnetization: 0.0 μB/cell

***

Entry 3:
Density functional theory data (meta-GGA SCAN) for a PBEsol-optimized structure of TbInAu.

Lattice parameters (Å, degrees): 3.9018 7.6886 7.6886 120.00 90.00 90.00
Fractional coordinates of all 9 atoms:
1 Au 0.0000 0.6667 0.3333
2 Tb 0.5000 0.5961 0.0000
3 Au 0.0000 0.3333 0.6667
4 Au 0.5000 0.0000 0.0000
5 Tb 0.5000 0.0000 0.5961
6 In 0.0000 0.7382 0.7382
7 Tb 0.5000 0.4039 0.4039
8 In 0.0000 0.0000 0.2618
9 In 0.0000 0.2618 0.0000

Energy of formation from the pure elements: -0.98 eV/atom
Total magnetization: 0.0 μB/cell

***

Entry 4:
Density functional theory data (meta-GGA SCAN) for a PBEsol-optimized structure of BaTaSe2.

Lattice parameters (Å, degrees): 4.1936 4.1936 6.5692 108.61 108.61 90.00
Fractional coordinates of all 4 atoms:
1 Ba 0.2500 0.7500 0.5000
2 Se 0.7500 0.2500 0.5000
3 Se 0.0000 0.0000 0.0000
4 Ta 0.5000 0.5000 0.0000

Formation energy (no corrections): -0.03 eV per atom
Energy above the lowest structure with this stoichiometry: 815 meV/atom
Total magnetization: 3.0 μB/cell